# 1
A relaxed Ti9InPb2 crystal. Source: the Alexandria database, functional PBE.

## Properties
Magnetic moment   0.00 μB/f.u.
E_tot   -6.819 eV per atom
Formation energy   -0.051 eV/atom
D(E_F)   15.33 states/eV/f.u.

a b c (Å): 4.160 4.160 12.757
angles (deg): 90.00 90.00 90.00
Atoms (fractional coordinates):
Ti  0.500  0.500  0.670
Ti  0.500  0.000  0.500
Ti  0.500  0.000  0.163
Ti  0.000  0.500  0.837
Ti  0.500  0.500  0.000
Ti  0.000  0.500  0.163
Ti  0.500  0.000  0.837
Ti  0.500  0.500  0.330
Ti  0.000  0.500  0.500
In  0.000  0.000  0.000
Pb  0.000  0.000  0.333
Pb  0.000  0.000  0.667

***

# 2
A relaxed VZnTc2 crystal. Source: the Alexandria database, functional PBE.

## Properties
Magnetic moment   1.45 μB/f.u.
E_tot   -7.217 eV per atom
Formation energy   0.564 eV/atom
D(E_F)   4.36 states/eV/f.u.

a b c (Å): 3.700 3.700 9.466
angles (deg): 78.73 78.73 90.00
Atoms (fractional coordinates):
V  0.500  0.500  0.000
V  0.250  0.750  0.500
Tc  0.094  0.625  0.250
Tc  0.375  0.344  0.750
Tc  0.875  0.906  0.750
Tc  0.656  0.125  0.250
Zn  0.000  0.000  0.000
Zn  0.750  0.250  0.500